DySc5In2: relaxed, PBE.

Structure (POSCAR):
```
DySc5In2
1.0
6.469 0.000 0.000
0.000 12.960 0.000
0.000 0.000 4.576
Dy Sc In
2 10 4
Direct
0.000 0.000 0.000
0.500 0.500 0.000
0.000 0.500 0.000
0.001 0.253 0.000
0.247 0.628 0.500
0.253 0.128 0.500
0.499 0.753 0.000
0.500 0.000 0.000
0.501 0.247 0.000
0.747 0.872 0.500
0.753 0.372 0.500
0.999 0.747 0.000
0.246 0.373 0.500
0.254 0.873 0.500
0.746 0.127 0.500
0.754 0.627 0.500
```

Calculated values
Density of states at the Fermi level = 1.20 states/eV per atom
Theoretical density = 5.34 g/cm³
Energy of formation from the pure elements = -2.19 eV per formula unit